HoAl4IrPd2 | GGA-PBE | relaxed

Lattice parameters (Å, degrees): 4.2643 4.2643 26.1852 90.00 90.00 120.00
Space group R-3m (No. 166, hexagonal axes)
Asymmetric unit:
Ho 0.0000 0.0000 0.0000
Al 0.0000 0.0000 0.1343
Al 0.0000 0.0000 0.4021
Ir 0.0000 0.0000 0.5000
Pd 0.0000 0.0000 0.2374

Computed properties:
Its density of states at the Fermi level is 0.63 states/eV/atom. As for the density: 8.19 Mg/m³. The total magnetic moment comes out at 0.000 μB per atom. The formation energy comes out at -6.045 eV per formula unit.

***

SrMo2W | GGA-PBE | relaxed

Lattice parameters (Å, degrees): 3.1505 3.1505 28.2378 90.00 90.00 120.00
Space group R-3m (No. 166, hexagonal axes)
Asymmetric unit:
Sr 0.0000 0.0000 0.0000
Mo 0.0000 0.0000 0.2344
W 0.0000 0.0000 0.5000

Computed properties:
Its density of states at the Fermi level is 1.18 states/eV/atom. As for the density: 9.51 Mg/m³. The total magnetic moment comes out at 0.000 μB per atom. As for the polymorph energy (0 for the lowest one): 0.183 eV/atom. The formation energy comes out at 3.545 eV per formula unit.

***

Cd12In7Hg | GGA-PBE | relaxed

Lattice parameters (Å, degrees): 12.0394 12.0394 11.8636 90.00 90.00 120.00
Space group R-3m (No. 166, hexagonal axes)
Asymmetric unit:
Cd 0.0000 0.2611 0.0000
Cd 0.0405 0.5203 0.1243
In 0.0000 0.0000 0.5000
In 0.0882 0.1764 0.7621
Hg 0.0000 0.0000 0.0000

Computed properties:
Its density of states at the Fermi level is 0.32 states/eV/atom. As for the density: 7.87 Mg/m³. The total magnetic moment comes out at 0.000 μB per atom. The formation energy comes out at 0.882 eV per formula unit.

***

BaNaSb2Te | GGA-PBE | relaxed

Lattice parameters (Å, degrees): 6.379 6.379 6.484 90.00 90.00 90.00
Space group P4/mmm (No. 123)
Asymmetric unit:
Ba 0.000 0.000 0.000
Na 0.500 0.500 0.500
Sb 0.000 0.500 0.000
Te 0.000 0.000 0.500

Computed properties:
As for the formation energy (no corrections): 0.319 eV per atom. Its density of states at the Fermi level is 1.29 states/eV/atom. As for the density: 3.35 Mg/m³. The total magnetic moment comes out at 0.136 μB per atom. As for the polymorph energy (0 for the lowest one): 0.492 eV/atom.

***

Sn2BiB | GGA-PBE | relaxed

Lattice parameters (Å, degrees): 6.106 6.106 11.663 90.00 90.00 90.00
Space group I-42d (No. 122)
Asymmetric unit:
Sn 0.156 0.250 0.125
Bi 0.000 0.000 0.500
B 0.000 0.000 0.000

Computed properties:
Its density of states at the Fermi level is 0.10 states/eV/atom. As for the density: 6.98 Mg/m³. The total magnetic moment comes out at 0.000 μB per atom. As for the polymorph energy (0 for the lowest one): 0.000 eV/atom. The formation energy comes out at 1.389 eV per formula unit.

***

Pm2BeZnNi6 | GGA-PBE | relaxed

Lattice parameters (Å, degrees): 11.109 4.897 7.796 90.00 132.27 90.00
Space group C2/m (No. 12)
Asymmetric unit:
Pm 0.249 0.000 0.202
Be 0.000 0.000 0.500
Zn 0.000 0.500 0.000
Ni 0.012 0.249 0.278
Ni 0.249 0.000 0.579

Computed properties:
Its density of states at the Fermi level is 0.57 states/eV/atom. As for the density: 7.58 Mg/m³. The total magnetic moment comes out at 0.000 μB per atom. The formation energy comes out at -2.722 eV per formula unit.

***

ZnCuIr3 | GGA-PBE | relaxed

Lattice parameters (Å, degrees): 4.505 4.505 4.505 90.00 90.00 90.00
Space group Pm-3m (No. 221)
Asymmetric unit:
Zn 0.000 0.000 0.000
Cu 0.500 0.500 0.500
Ir 0.000 0.000 0.500

Computed properties:
Its density of states at the Fermi level is 1.70 states/eV/atom. As for the density: 12.81 Mg/m³. The total magnetic moment comes out at 0.000 μB per atom. As for the polymorph energy (0 for the lowest one): 0.177 eV/atom. The formation energy comes out at 8.604 eV per formula unit.

***

Pm2RhPb3 | GGA-PBE | relaxed

Lattice parameters (Å, degrees): 3.715 4.920 9.330 90.00 90.00 90.00
Space group Pmm2 (No. 25)
Asymmetric unit:
Pm 0.000 0.000 0.000
Pm 0.000 0.500 0.393
Rh 0.500 0.000 0.251
Pb 0.500 0.000 0.551
Pb 0.500 0.500 0.113
Pb 0.500 0.500 0.762

Computed properties:
Its density of states at the Fermi level is 0.60 states/eV/atom. As for the density: 9.88 Mg/m³. The total magnetic moment comes out at 0.000 μB per atom. The formation energy comes out at -2.200 eV per formula unit.

***

NaBe2Ag2F7 | GGA-PBE | relaxed

Lattice parameters (Å, degrees): 5.1562 5.1562 20.9906 90.00 90.00 120.00
Space group R32 (No. 155, hexagonal axes)
Asymmetric unit:
Na 0.0000 0.0000 0.0000
Be 0.0000 0.0000 0.4230
Ag 0.0000 0.0000 0.1876
F 0.0000 0.0000 0.5000
F 0.0195 0.3015 0.5932

Computed properties:
As for the formation energy (no corrections): -2.398 eV per atom. Its density of states at the Fermi level is 0.00 states/eV/atom. As for the density: 4.02 Mg/m³. The total magnetic moment comes out at 0.000 μB per atom.

***

Dy5Cd6 | GGA-PBE | relaxed

Lattice parameters (Å, degrees): 16.374 7.270 5.283 90.00 108.75 90.00
Space group C2/m (No. 12)
Asymmetric unit:
Dy 0.000 0.000 0.000
Dy 0.162 0.000 0.662
Dy 0.182 0.500 0.682
Cd 0.000 0.282 0.500
Cd 0.152 0.280 0.152

Computed properties:
Its density of states at the Fermi level is 1.02 states/eV/atom. As for the density: 8.29 Mg/m³. The total magnetic moment comes out at 0.022 μB per atom. The formation energy comes out at -2.293 eV per formula unit.

***

SiNi2Se | GGA-PBE | relaxed

Lattice parameters (Å, degrees): 3.289 3.289 5.047 90.00 90.00 90.00
Space group P4mm (No. 99)
Asymmetric unit:
Si 0.000 0.000 0.000
Ni 0.000 0.000 0.471
Ni 0.500 0.500 0.149
Se 0.500 0.500 0.622

Computed properties:
As for the formation energy (no corrections): -0.083 eV per atom. Its density of states at the Fermi level is 0.51 states/eV/atom. As for the density: 6.83 Mg/m³. The total magnetic moment comes out at 0.000 μB per atom. As for the polymorph energy (0 for the lowest one): 0.219 eV/atom.

***

Pu4Te5H | GGA-PBE | relaxed

Lattice parameters (Å, degrees): 22.110 4.121 7.513 90.00 104.32 90.00
Space group C2/m (No. 12)
Asymmetric unit:
Pu 0.028 0.000 0.319
Pu 0.193 0.500 0.569
Te 0.000 0.500 0.000
Te 0.117 0.000 0.729
Te 0.167 0.000 0.248
H 0.000 0.500 0.500

Computed properties:
Its density of states at the Fermi level is 4.63 states/eV/atom. As for the density: 8.09 Mg/m³. The total magnetic moment comes out at 0.009 μB per atom. For the raw total energy, the calculation gives -8.2705 eV per atom.